[1]
Li2NbZn after structural relaxation. Source: Alexandria, functional GGA-PBEsol.

Properties
The energy relative to the elements comes out at 637.6 meV per atom.

a = 6.9153 Å, b = 6.9153 Å, c = 5.2149 Å
α = 90.00°, β = 90.00°, γ = 90.00°
Closest atoms and distances in Å follow each position.
Space group I-42d (No. 122)
Symmetry-distinct sites (fractional):
Li (0.2183, 0.7500, 0.1250) [8 per cell]  2 Zn 2.39, 2 Li 2.64
Nb (0.0000, 0.0000, 0.5000) [4 per cell]  2 Zn 2.61, 4 Li 2.69
Zn (0.0000, 0.0000, 0.0000) [4 per cell]  4 Li 2.39, 2 Nb 2.61


[2]
PaInAu2 after structural relaxation. Source: Alexandria, functional GGA-PBEsol.

Properties
The energy relative to the elements comes out at -429.6 meV per atom.

a = 6.9249 Å, b = 6.9249 Å, c = 6.9249 Å
α = 90.00°, β = 90.00°, γ = 90.00°
Closest atoms and distances in Å follow each position.
Space group Fm-3m (No. 225)
Symmetry-distinct sites (fractional):
Pa (0.0000, 0.0000, 0.0000) [4 per cell]  8 Au 3.00
In (0.0000, 0.0000, 0.5000) [4 per cell]  8 Au 3.00
Au (0.2500, 0.2500, 0.2500) [8 per cell]  4 In 3.00, 4 Pa 3.00


[3]
AlSiSb after structural relaxation. Source: Alexandria, functional GGA-PBEsol.

Properties
The calculation puts the energy relative to the elements, uncorrected at 0.202 eV per atom.

a = 3.8151 Å, b = 3.8151 Å, c = 4.9963 Å
α = 90.00°, β = 90.00°, γ = 120.00°
Closest atoms and distances in Å follow each position.
Space group P3m1 (No. 156)
Symmetry-distinct sites (fractional):
Al (0.0000, 0.0000, 0.0000) [1 per cell]  3 Si 2.61
Si (0.6667, 0.3333, 0.2802) [1 per cell]  3 Al 2.61, 3 Sb 2.74
Sb (0.3333, 0.6667, 0.6071) [1 per cell]  3 Si 2.74, 3 Al 2.95